{"formula": "Ba2Ca7I18", "functional": "PBE", "state": "relaxed", "cell": [[10.4465, -0.0052, -0.0227], [-0.9702, 11.0847, 0.0163], [-5.0721, -1.5441, 10.3365]], "species": ["Ca", "Ca", "I", "Ba", "I", "I", "Ca", "I", "I", "I", "I", "Ca", "Ca", "Ca", "I", "I", "I", "Ca", "I", "I", "I", "Ba", "I", "I", "I", "I", "I"], "frac_coords": [[0.0000, 0.5000, 0.0000], [0.2109, 0.2175, 0.3944], [0.3123, 0.4616, 0.0288], [0.7112, 0.3677, 0.2189], [0.1496, 0.3150, 0.6324], [0.9181, 0.2197, 0.8966], [0.7891, 0.7825, 0.6056], [0.2903, 0.9721, 0.5006], [0.6877, 0.5384, 0.9712], [0.4779, 0.6621, 0.4256], [0.8860, 0.0911, 0.2438], [0.2035, 0.1850, 0.8791], [0.5967, 0.1080, 0.7014], [0.7965, 0.8150, 0.1209], [0.3365, 0.1473, 0.1893], [0.0819, 0.7803, 0.1034], [0.0718, 0.4437, 0.2782], [0.4033, 0.8920, 0.2986], [0.5221, 0.3379, 0.5744], [0.9282, 0.5563, 0.7218], [0.7097, 0.0279, 0.4994], [0.2888, 0.6323, 0.7811], [0.4826, 0.8279, 0.0708], [0.6635, 0.8527, 0.8107], [0.1140, 0.9089, 0.7562], [0.5174, 0.1721, 0.9292], [0.8504, 0.6850, 0.3676]], "total_energy_ev_per_atom": -3.284, "space_group": "P-1 (2)", "total_magnetization_mub_per_fu": 0.00}


{"formula": "Ag4Pd2Au", "functional": "PBE", "state": "relaxed", "cell": [[-4.8895, -0.7607, -5.1015], [-0.3040, -5.0477, 4.9943], [-0.8349, 5.9024, 3.8704]], "species": ["Ag", "Pd", "Pd", "Ag", "Ag", "Au", "Pd", "Ag", "Ag", "Pd", "Ag", "Ag", "Ag", "Au"], "frac_coords": [[0.5000, 0.3144, 0.5153], [0.2110, 0.8555, 0.3555], [0.5000, 0.3555, 0.1445], [0.2009, 0.1856, 0.6856], [0.5000, 0.0153, 0.8144], [0.0000, 0.7500, 0.7500], [0.5000, 0.6445, 0.8555], [0.7991, 0.8144, 0.3144], [0.2009, 0.5153, 0.0153], [0.7890, 0.1445, 0.6445], [0.7991, 0.4847, 0.9847], [0.5000, 0.6856, 0.4847], [0.5000, 0.9847, 0.1856], [0.0000, 0.2500, 0.2500]], "relative_energy_ev_per_atom": 0.1270, "total_energy_ev_per_atom": -3.342, "space_group": "I4/mcm (140)", "formation_enthalpy_0k_ev_per_fu": 1.67, "total_magnetization_mub_per_fu": 0.00}


{"formula": "MgBe2Al", "functional": "PBE", "state": "relaxed", "cell": [[4.3718, 0.0000, 0.0000], [0.0000, 3.6287, 0.0000], [0.0000, 0.0000, 6.9635]], "species": ["Al", "Mg", "Be", "Be", "Mg", "Be", "Be", "Al"], "frac_coords": [[0.0000, 0.0000, 0.3792], [0.5000, 0.5000, 0.4890], [0.0000, 0.0000, 0.0362], [0.5000, 0.0000, 0.2064], [0.5000, 0.0000, 0.8421], [0.2457, 0.5000, 0.1331], [0.7543, 0.5000, 0.1331], [0.0000, 0.5000, 0.7808]], "relative_energy_ev_per_atom": 0.0422, "total_energy_ev_per_atom": -3.107, "space_group": "Pmm2 (25)", "formation_enthalpy_0k_ev_per_fu": 0.36, "total_magnetization_mub_per_fu": 0.00}